# 1
DFT (PBE) results for a geometry-optimized PrMg4AlCu2 structure.

Mass density, g/cm³: 2.95
SG: Amm2 (38)
Uncorrected energy, eV per formula unit: -20.16
Crystal system: orthorhombic
Size of the total moment, μB per formula unit: 0.0

Unit cell a=7.085 b=8.790 c=8.790 alpha=23.76 beta=90.00 gamma=90.00
Fractional coordinates of all 8 atoms:
Pr: 0.000 0.000 0.000
Mg: 0.247 0.190 0.190
Mg: 0.309 0.846 0.846
Mg: 0.691 0.846 0.846
Mg: 0.753 0.190 0.190
Al: 0.000 0.356 0.356
Cu: 0.000 0.627 0.627
Cu: 0.000 0.763 0.763

---

# 2
DFT (PBE) results for a geometry-optimized Y3Mg3AlCuPt structure.

Mass density, g/cm³: 5.18
SG: P-6 (174)
Uncorrected energy, eV per formula unit: -42.13
Crystal system: hexagonal
Size of the total moment, μB per formula unit: 0.0

Unit cell a=7.646 b=7.646 c=3.962 alpha=90.00 beta=90.00 gamma=120.00
Fractional coordinates of all 9 atoms:
Y: 0.087 0.735 0.000
Y: 0.265 0.352 0.000
Y: 0.648 0.913 0.000
Mg: 0.422 0.091 0.500
Mg: 0.669 0.578 0.500
Mg: 0.909 0.331 0.500
Al: 0.000 0.000 0.500
Cu: 0.667 0.333 0.000
Pt: 0.333 0.667 0.500

---

# 3
DFT (PBE) results for a geometry-optimized MgAlCuRe structure.

Mass density, g/cm³: 8.62
Distance to the lowest polymorph of the same formula, meV per atom: 0
SG: F-43m (216)
Crystal system: cubic
Size of the total moment, μB per formula unit: 0.0

Unit cell a=4.345 b=4.345 c=4.345 alpha=60.00 beta=60.00 gamma=60.00
Fractional coordinates of all 4 atoms:
Mg: 0.000 0.000 0.000
Al: 0.500 0.500 0.500
Cu: 0.750 0.750 0.750
Re: 0.250 0.250 0.250

---

# 4
DFT (PBE) results for a geometry-optimized MgScAlCu structure.

Mass density, g/cm³: 3.86
Distance to the lowest polymorph of the same formula, meV per atom: 109
SG: F-43m (216)
Crystal system: cubic
Size of the total moment, μB per formula unit: 0.0

Unit cell a=4.596 b=4.596 c=4.596 alpha=60.00 beta=60.00 gamma=60.00
Fractional coordinates of all 4 atoms:
Mg: 0.000 0.000 0.000
Sc: 0.250 0.250 0.250
Al: 0.500 0.500 0.500
Cu: 0.750 0.750 0.750

---

# 5
DFT (PBE) results for a geometry-optimized MgScAl2Cu4 structure.

Mass density, g/cm³: 5.39
Distance to the lowest polymorph of the same formula, meV per atom: 0
SG: P4/mmm (123)
Crystal system: tetragonal
Size of the total moment, μB per formula unit: 0.0

Unit cell a=4.344 b=4.344 c=6.160 alpha=90.00 beta=90.00 gamma=90.00
Fractional coordinates of all 8 atoms:
Mg: 0.000 0.000 0.000
Sc: 0.500 0.500 0.500
Al: 0.000 0.000 0.500
Al: 0.500 0.500 0.000
Cu: 0.000 0.500 0.249
Cu: 0.000 0.500 0.751
Cu: 0.500 0.000 0.249
Cu: 0.500 0.000 0.751

---

# 6
DFT (PBE) results for a geometry-optimized MgScAlCu structure.

Mass density, g/cm³: 3.82
Distance to the lowest polymorph of the same formula, meV per atom: 0
SG: F-43m (216)
Crystal system: cubic
Size of the total moment, μB per formula unit: 0.0

Unit cell a=4.612 b=4.612 c=4.612 alpha=60.00 beta=60.00 gamma=60.00
Fractional coordinates of all 4 atoms:
Mg: 0.000 0.000 0.000
Sc: 0.500 0.500 0.500
Al: 0.250 0.250 0.250
Cu: 0.750 0.750 0.750

---

# 7
DFT (PBE) results for a geometry-optimized MgScAl2Cu4 structure.

Mass density, g/cm³: 5.42
Distance to the lowest polymorph of the same formula, meV per atom: 13
SG: I4_1/amd (141)
Crystal system: tetragonal
Size of the total moment, μB per formula unit: 0.0

Unit cell a=7.578 b=7.578 c=7.578 alpha=132.63 beta=132.63 gamma=69.24
Fractional coordinates of all 16 atoms:
Mg: 0.375 0.625 0.750
Mg: 0.625 0.375 0.250
Sc: 0.125 0.875 0.250
Sc: 0.875 0.125 0.750
Al: 0.123 0.373 0.750
Al: 0.373 0.123 0.250
Al: 0.627 0.877 0.750
Al: 0.877 0.627 0.250
Cu: 0.000 0.255 0.255
Cu: 0.000 0.745 0.745
Cu: 0.255 0.000 0.755
Cu: 0.255 0.500 0.255
Cu: 0.500 0.255 0.755
Cu: 0.500 0.745 0.245
Cu: 0.745 0.000 0.245
Cu: 0.745 0.500 0.745

---

# 8
DFT (PBE) results for a geometry-optimized MgScAlCu structure.

Mass density, g/cm³: 3.95
Distance to the lowest polymorph of the same formula, meV per atom: 60
SG: F-43m (216)
Crystal system: cubic
Size of the total moment, μB per formula unit: 0.0

Unit cell a=4.564 b=4.564 c=4.564 alpha=60.00 beta=60.00 gamma=60.00
Fractional coordinates of all 4 atoms:
Mg: 0.000 0.000 0.000
Sc: 0.750 0.750 0.750
Al: 0.250 0.250 0.250
Cu: 0.500 0.500 0.500

---

# 9
DFT (PBE) results for a geometry-optimized MgScAl2Cu4 structure.

Mass density, g/cm³: 5.39
Distance to the lowest polymorph of the same formula, meV per atom: 12
SG: I4_1/amd (141)
Crystal system: tetragonal
Size of the total moment, μB per formula unit: 0.0

Unit cell a=7.567 b=7.567 c=7.567 alpha=132.30 beta=132.30 gamma=69.76
Fractional coordinates of all 16 atoms:
Mg: 0.375 0.625 0.750
Mg: 0.625 0.375 0.250
Sc: 0.125 0.875 0.250
Sc: 0.875 0.125 0.750
Al: 0.124 0.374 0.750
Al: 0.374 0.124 0.250
Al: 0.626 0.876 0.750
Al: 0.876 0.626 0.250
Cu: 0.000 0.254 0.254
Cu: 0.000 0.746 0.746
Cu: 0.254 0.000 0.754
Cu: 0.254 0.500 0.254
Cu: 0.500 0.254 0.754
Cu: 0.500 0.746 0.246
Cu: 0.746 0.000 0.246
Cu: 0.746 0.500 0.746

---

# 10
DFT (PBE) results for a geometry-optimized MgAlCuW structure.

Mass density, g/cm³: 8.16
Distance to the lowest polymorph of the same formula, meV per atom: 0
SG: F-43m (216)
Crystal system: cubic
Size of the total moment, μB per formula unit: 0.2

Unit cell a=4.414 b=4.414 c=4.414 alpha=60.00 beta=60.00 gamma=60.00
Fractional coordinates of all 4 atoms:
Mg: 0.000 0.000 0.000
Al: 0.500 0.500 0.500
Cu: 0.750 0.750 0.750
W: 0.250 0.250 0.250

---

# 11
DFT (PBE) results for a geometry-optimized Y3Mg3AlZnCu structure.

Mass density, g/cm³: 4.07
SG: P-6 (174)
Uncorrected energy, eV per formula unit: -35.38
Crystal system: hexagonal
Size of the total moment, μB per formula unit: 0.0

Unit cell a=7.524 b=7.524 c=4.121 alpha=90.00 beta=90.00 gamma=120.00
Fractional coordinates of all 9 atoms:
Y: 0.077 0.739 0.000
Y: 0.261 0.338 0.000
Y: 0.662 0.923 0.000
Mg: 0.426 0.092 0.500
Mg: 0.666 0.574 0.500
Mg: 0.908 0.334 0.500
Al: 0.000 0.000 0.500
Zn: 0.333 0.667 0.500
Cu: 0.667 0.333 0.000

---

# 12
DFT (PBE) results for a geometry-optimized AlCuMo2 structure.

Mass density, g/cm³: 7.98
SG: F-43m (216)
Uncorrected energy, eV per formula unit: -28.85
Crystal system: cubic
Size of the total moment, μB per formula unit: 0.0

Unit cell a=4.365 b=4.365 c=4.365 alpha=60.00 beta=60.00 gamma=60.00
Fractional coordinates of all 4 atoms:
Al: 0.000 0.000 0.000
Cu: 0.250 0.250 0.250
Mo: 0.500 0.500 0.500
Mo: 0.750 0.750 0.750

---

Question: Which value of size of the total moment does entry 12 give?
Answer: 0.0 μB per formula unit

---

Question: Number 10 is which compound?
Answer: MgAlCuW